Entry 1:
VASP calculation (meta-GGA SCAN) on a crystal of Mg2ReHN relaxed with PBEsol.

magnetization: 1.4 Bohr magnetons per cell
total DFT energy (no corrections): -90.60 eV/cell

Unit cell a=4.831 b=4.831 c=2.650 alpha=90.00 beta=90.00 gamma=90.00
Element x y z (fractional)
Mg 0.000 0.500 0.000
Mg 0.500 0.000 0.000
Re 0.000 0.000 0.500
H 0.500 0.500 0.500
N 0.500 0.500 0.000

---

Entry 2:
VASP calculation (meta-GGA SCAN) on a crystal of MgHS2N relaxed with PBEsol.

magnetization: 0.0 Bohr magnetons per cell
total DFT energy (no corrections): -30.75 eV/cell

Unit cell a=4.865 b=4.865 c=4.013 alpha=90.00 beta=90.00 gamma=90.00
Element x y z (fractional)
Mg 0.000 0.000 0.000
H 0.500 0.500 0.500
S 0.000 0.500 0.000
S 0.500 0.000 0.000
N 0.000 0.000 0.500

---

Entry 3:
VASP calculation (meta-GGA SCAN) on a crystal of MgSiHN2 relaxed with PBEsol.

magnetization: 0.0 Bohr magnetons per cell
total DFT energy (no corrections): -30.55 eV/cell

Unit cell a=3.776 b=3.776 c=3.036 alpha=90.00 beta=90.00 gamma=90.00
Element x y z (fractional)
Mg 0.000 0.000 0.000
Si 0.500 0.500 0.000
H 0.000 0.000 0.500
N 0.000 0.500 0.500
N 0.500 0.000 0.500

---

Entry 4:
VASP calculation (meta-GGA SCAN) on a crystal of NaMgH2 relaxed with PBEsol.

magnetization: 0.0 Bohr magnetons per cell
total DFT energy (no corrections): -15.08 eV/cell

Unit cell a=4.143 b=4.143 c=4.143 alpha=60.00 beta=60.00 gamma=60.00
Element x y z (fractional)
Na 0.000 0.000 0.000
Mg 0.500 0.500 0.500
H 0.250 0.250 0.250
H 0.750 0.750 0.750

---

Entry 5:
VASP calculation (meta-GGA SCAN) on a crystal of NaMgPH12O11 relaxed with PBEsol.

magnetization: 4.2 Bohr magnetons per cell
total DFT energy (no corrections): -331.16 eV/cell

Unit cell a=6.685 b=6.685 c=10.943 alpha=90.00 beta=90.00 gamma=90.00
Element x y z (fractional)
Na 0.000 0.000 0.000
Na 0.000 0.000 0.500
Mg 0.000 0.500 0.000
Mg 0.500 0.000 0.500
P 0.500 0.500 0.250
P 0.500 0.500 0.750
H 0.121 0.500 0.244
H 0.121 0.500 0.756
H 0.285 0.317 0.428
H 0.285 0.317 0.572
H 0.285 0.683 0.428
H 0.285 0.683 0.572
H 0.317 0.285 0.072
H 0.317 0.285 0.928
H 0.317 0.715 0.072
H 0.317 0.715 0.928
H 0.500 0.121 0.256
H 0.500 0.121 0.744
H 0.500 0.879 0.256
H 0.500 0.879 0.744
H 0.683 0.285 0.072
H 0.683 0.285 0.928
H 0.683 0.715 0.072
H 0.683 0.715 0.928
H 0.715 0.317 0.428
H 0.715 0.317 0.572
H 0.715 0.683 0.428
H 0.715 0.683 0.572
H 0.879 0.500 0.244
H 0.879 0.500 0.756
O 0.000 0.000 0.250
O 0.000 0.000 0.750
O 0.000 0.500 0.188
O 0.000 0.500 0.812
O 0.222 0.275 0.000
O 0.222 0.725 0.000
O 0.275 0.222 0.500
O 0.275 0.778 0.500
O 0.309 0.500 0.331
O 0.309 0.500 0.669
O 0.500 0.000 0.312
O 0.500 0.000 0.688
O 0.500 0.309 0.169
O 0.500 0.309 0.831
O 0.500 0.691 0.169
O 0.500 0.691 0.831
O 0.691 0.500 0.331
O 0.691 0.500 0.669
O 0.725 0.222 0.500
O 0.725 0.778 0.500
O 0.778 0.275 0.000
O 0.778 0.725 0.000

---

magnetization of number 5 (NaMgPH12O11)?
4.2 Bohr magnetons per cell

---

Which value of total DFT energy (no corrections) does entry 3 give?
-30.55 eV/cell

---

Copy entry 5 word for word.
VASP calculation (meta-GGA SCAN) on a crystal of NaMgPH12O11 relaxed with PBEsol.

magnetization: 4.2 Bohr magnetons per cell
total DFT energy (no corrections): -331.16 eV/cell

Unit cell a=6.685 b=6.685 c=10.943 alpha=90.00 beta=90.00 gamma=90.00
Element x y z (fractional)
Na 0.000 0.000 0.000
Na 0.000 0.000 0.500
Mg 0.000 0.500 0.000
Mg 0.500 0.000 0.500
P 0.500 0.500 0.250
P 0.500 0.500 0.750
H 0.121 0.500 0.244
H 0.121 0.500 0.756
H 0.285 0.317 0.428
H 0.285 0.317 0.572
H 0.285 0.683 0.428
H 0.285 0.683 0.572
H 0.317 0.285 0.072
H 0.317 0.285 0.928
H 0.317 0.715 0.072
H 0.317 0.715 0.928
H 0.500 0.121 0.256
H 0.500 0.121 0.744
H 0.500 0.879 0.256
H 0.500 0.879 0.744
H 0.683 0.285 0.072
H 0.683 0.285 0.928
H 0.683 0.715 0.072
H 0.683 0.715 0.928
H 0.715 0.317 0.428
H 0.715 0.317 0.572
H 0.715 0.683 0.428
H 0.715 0.683 0.572
H 0.879 0.500 0.244
H 0.879 0.500 0.756
O 0.000 0.000 0.250
O 0.000 0.000 0.750
O 0.000 0.500 0.188
O 0.000 0.500 0.812
O 0.222 0.275 0.000
O 0.222 0.725 0.000
O 0.275 0.222 0.500
O 0.275 0.778 0.500
O 0.309 0.500 0.331
O 0.309 0.500 0.669
O 0.500 0.000 0.312
O 0.500 0.000 0.688
O 0.500 0.309 0.169
O 0.500 0.309 0.831
O 0.500 0.691 0.169
O 0.500 0.691 0.831
O 0.691 0.500 0.331
O 0.691 0.500 0.669
O 0.725 0.222 0.500
O 0.725 0.778 0.500
O 0.778 0.275 0.000
O 0.778 0.725 0.000

---

What is the total DFT energy (no corrections) in the first record?
-90.60 eV/cell